1.
NdPuCd2 | PBE-GGA | optimized geometry

Excess energy over the best structure of this formula in the dataset in meV/atom: 145.9
Space-group type: R-3m

Cell lengths 11.030, 11.030, 11.030 Å; angles 17.97, 17.97, 17.97 degrees
Atoms (fractional coordinates):
Nd  0.000  0.000  0.000
Pu  0.500  0.500  0.500
Cd  0.249  0.249  0.249
Cd  0.751  0.751  0.751

---

2.
NaPaPb2O6 | PBE-GGA | optimized geometry

Space-group type: R3
Raw formation energy in meV per atom: -1933.7

Cell lengths 6.228, 6.228, 6.228 Å; angles 58.23, 58.23, 58.23 degrees
Atoms (fractional coordinates):
Na  0.000  0.000  0.000
Pa  0.489  0.489  0.489
Pb  0.282  0.282  0.282
Pb  0.772  0.772  0.772
O  0.128  0.660  0.384
O  0.246  0.537  0.883
O  0.384  0.128  0.660
O  0.537  0.883  0.246
O  0.660  0.384  0.128
O  0.883  0.246  0.537

---

3.
CeHo2Sc | PBE-GGA | optimized geometry

Excess energy over the best structure of this formula in the dataset in meV/atom: 0.0
Space-group type: R3m

Cell lengths 11.397, 11.397, 11.397 Å; angles 17.41, 17.41, 17.41 degrees
Atoms (fractional coordinates):
Ce  0.000  0.000  0.000
Ho  0.248  0.248  0.248
Ho  0.420  0.420  0.420
Sc  0.835  0.835  0.835

---

4.
CsGa2HgCl8 | PBE-GGA | optimized geometry

Space-group type: R-3
Raw formation energy in meV per atom: -1168.8

Cell lengths 10.660, 10.660, 10.660 Å; angles 37.12, 37.12, 37.12 degrees
Atoms (fractional coordinates):
Cs  0.000  0.000  0.000
Ga  0.251  0.251  0.251
Ga  0.749  0.749  0.749
Hg  0.500  0.500  0.500
Cl  0.065  0.448  0.804
Cl  0.196  0.935  0.552
Cl  0.325  0.325  0.325
Cl  0.448  0.804  0.065
Cl  0.552  0.196  0.935
Cl  0.675  0.675  0.675
Cl  0.804  0.065  0.448
Cl  0.935  0.552  0.196

---

5.
Na4Tl2Cd3 | PBE-GGA | optimized geometry

Raw total energy in eV/atom: -1.5062
Space-group type: C2/m

Cell lengths 5.848, 5.848, 9.926 Å; angles 108.54, 108.54, 48.98 degrees
Atoms (fractional coordinates):
Na  0.016  0.016  0.337
Na  0.340  0.340  0.113
Na  0.660  0.660  0.887
Na  0.984  0.984  0.663
Tl  0.317  0.317  0.766
Tl  0.683  0.683  0.234
Cd  0.000  0.000  0.000
Cd  0.342  0.342  0.449
Cd  0.658  0.658  0.551

---

6.
LaRu5 | PBE-GGA | optimized geometry

Raw total energy in eV/atom: -8.2837
Space-group type: Amm2

Cell lengths 4.346, 8.154, 8.154 Å; angles 20.05, 90.00, 90.00 degrees
Atoms (fractional coordinates):
La  0.000  0.000  0.000
Ru  0.000  0.323  0.323
Ru  0.000  0.685  0.685
Ru  0.500  0.227  0.227
Ru  0.500  0.586  0.586
Ru  0.500  0.871  0.871

---

7.
PuCrGa2 | PBE-GGA | optimized geometry

Raw total energy in eV/atom: -7.1927
Space-group type: R-3m

Cell lengths 10.280, 10.280, 10.280 Å; angles 15.74, 15.74, 15.74 degrees
Atoms (fractional coordinates):
Pu  0.000  0.000  0.000
Cr  0.500  0.500  0.500
Ga  0.099  0.099  0.099
Ga  0.901  0.901  0.901

---

8.
RbHfTl | PBE-GGA | optimized geometry

Excess energy over the best structure of this formula in the dataset in meV/atom: 104.2
Space-group type: C2

Cell lengths 13.780, 13.780, 3.538 Å; angles 90.32, 90.32, 20.54 degrees
Atoms (fractional coordinates):
Rb  0.172  0.172  0.258
Rb  0.828  0.828  0.742
Hf  0.454  0.459  0.748
Hf  0.541  0.546  0.252
Tl  0.050  0.054  0.752
Tl  0.946  0.950  0.248

---

9.
OsRu2W | PBE-GGA | optimized geometry

Excess energy over the best structure of this formula in the dataset in meV/atom: 95.4
Space-group type: P4/mmm

Cell lengths 2.748, 2.748, 7.731 Å; angles 90.00, 90.00, 90.00 degrees
Atoms (fractional coordinates):
Os  0.000  0.000  0.000
Ru  0.500  0.500  0.243
Ru  0.500  0.500  0.757
W  0.000  0.000  0.500

---

10.
LiCaTmPd | PBE-GGA | optimized geometry

Raw total energy in eV/atom: -3.7545
Space-group type: F-43m

Cell lengths 5.030, 5.030, 5.030 Å; angles 60.00, 60.00, 60.00 degrees
Atoms (fractional coordinates):
Li  0.000  0.000  0.000
Ca  0.250  0.250  0.250
Tm  0.750  0.750  0.750
Pd  0.500  0.500  0.500

---

11.
Ac12PrY5 | PBE-GGA | optimized geometry

Raw total energy in eV/atom: -4.7543
Space-group type: C2/m

Cell lengths 11.597, 11.597, 6.699 Å; angles 106.52, 106.52, 59.66 degrees
Atoms (fractional coordinates):
Ac  0.002  0.332  0.500
Ac  0.164  0.836  0.000
Ac  0.168  0.498  0.000
Ac  0.332  0.002  0.500
Ac  0.334  0.666  0.500
Ac  0.498  0.168  0.000
Ac  0.502  0.832  0.000
Ac  0.666  0.334  0.500
Ac  0.668  0.998  0.500
Ac  0.832  0.502  0.000
Ac  0.836  0.164  0.000
Ac  0.998  0.668  0.500
Pr  0.500  0.500  0.000
Y  0.000  0.000  0.500
Y  0.167  0.167  0.000
Y  0.333  0.333  0.498
Y  0.667  0.667  0.502
Y  0.833  0.833  0.000

---

12.
K2MgO2 | PBE-GGA | optimized geometry

Space-group type: Cmc2_1
Raw formation energy in meV per atom: -1583.6

Cell lengths 7.502, 7.502, 6.610 Å; angles 90.00, 90.00, 152.23 degrees
Atoms (fractional coordinates):
K  0.067  0.933  0.500
K  0.216  0.784  0.799
K  0.784  0.216  0.299
K  0.933  0.067  0.000
Mg  0.421  0.579  0.601
Mg  0.579  0.421  0.101
O  0.151  0.849  0.155
O  0.467  0.533  0.307
O  0.533  0.467  0.807
O  0.849  0.151  0.655

---

One value per record, in order, for theoretical density: 9126 7746 7397 3178 5799 10799 10382 6596 16394 5950 7481 2578 kg/m3.